Record 1
A geometry-optimized Dy2YZn8 structure. Source: Alexandria via LeMat-Bulk, functional PBE.

Cell lengths 4.8017, 5.9178, 8.2985 Å; angles 110.90, 106.84, 89.95 degrees
Closest atoms and distances in Å follow each position.
Atoms (fractional coordinates):
Zn 0.6981 0.1981 0.3962  4 Dy 2.89-2.96, 1 Y 2.92, 6 Zn 2.97-3.10
Zn 0.7502 0.4986 0.0000  2 Zn 2.40
Zn 0.8778 0.1045 0.7547  5 Zn 2.69-2.97
Zn 0.2498 0.5014 0.0000  2 Zn 2.40
Zn 0.1230 0.3497 0.2453  5 Zn 2.69-2.97
Zn 0.1222 0.8955 0.2453  5 Zn 2.69-2.97
Dy 0.3077 0.3077 0.6154  12 Zn 2.89-3.08
Dy 0.6923 0.6923 0.3846  12 Zn 2.89-3.08
Zn 0.3019 0.8019 0.6038  4 Dy 2.89-2.96, 1 Y 2.92, 6 Zn 2.97-3.10
Zn 0.8770 0.6503 0.7547  5 Zn 2.69-2.97
Y 0.5000 0.0000 0.0000  6 Zn 2.92-3.20

The volume comes out at 209.45 Å³/cell. The formation energy is -0.3210 eV/atom. The space group is C2/m (12).

***

Record 2
A geometry-optimized Dy3YZn8 structure. Source: Alexandria via LeMat-Bulk, functional PBE.

Cell lengths 5.5426, 5.5426, 8.6610 Å; angles 90.00, 90.00, 120.00 degrees
Closest atoms and distances in Å follow each position.
Atoms (fractional coordinates):
Zn 0.1649 0.8351 0.2500  6 Zn 2.70-2.80
Y 0.0000 0.0000 0.5595  12 Zn 3.11-3.24, 4 Dy 3.33-3.36
Zn 0.9962 0.4981 0.7499  6 Zn 2.70-2.80
Dy 0.6667 0.3333 0.0571  12 Zn 3.10-3.24, 4 Dy 3.32-3.35
Zn 0.1649 0.3299 0.2500  6 Zn 2.70-2.80
Zn 0.5019 0.0038 0.7499  6 Zn 2.70-2.80
Zn 0.3333 0.6667 0.9999  6 Zn 2.70
Zn 0.5019 0.4981 0.7499  6 Zn 2.70-2.80
Dy 0.0000 0.0000 0.9434  12 Zn 3.09-3.24, 1 Y 3.33, 3 Dy 3.35
Zn 0.3333 0.6667 0.5000  6 Zn 2.70
Dy 0.6667 0.3333 0.4403  12 Zn 3.11-3.24, 1 Dy 3.32, 3 Y 3.36
Zn 0.6701 0.8351 0.2500  6 Zn 2.70-2.80

The volume comes out at 230.42 Å³/cell. The formation energy is -0.3272 eV/atom. The space group is P3m1 (156).

***

Record 3
A geometry-optimized Dy3Y2Zn2 structure. Source: Alexandria via LeMat-Bulk, functional PBE.

Cell lengths 3.5478, 3.5216, 15.3915 Å; angles 90.00, 83.38, 90.00 degrees
Closest atoms and distances in Å follow each position.
Atoms (fractional coordinates):
Zn 0.5577 0.5000 0.8845  8 Dy 3.06-3.09
Zn 0.4423 0.5000 0.1155  8 Dy 3.06-3.09
Y 0.2996 0.5000 0.4008  6 Y 3.51-3.55, 4 Dy 3.57
Dy 0.8830 0.0000 0.2340  4 Zn 3.09
Dy 0.1170 0.0000 0.7660  4 Zn 3.09
Dy 0.0000 0.0000 0.0000  8 Zn 3.06
Y 0.7004 0.5000 0.5992  6 Y 3.51-3.55, 4 Dy 3.57

The volume comes out at 191.02 Å³/cell. The formation energy is -0.1225 eV/atom. The energy above the lowest structure with this stoichiometry is 0.29 eV per formula unit. The space group is Cmmm (65).